VASP calculation (PBE-GGA) on an optimized crystal structure of ErThCd.

Cell: 7.2536 7.2536 7.2536 Å, 151.55 151.55 40.67°
Fractional positions:
1 Er 0.0000 0.0000 0.0000
2 Th 0.6819 0.6819 0.0000
3 Cd 0.3535 0.3535 0.0000

Computed properties:
Final energy ... -13.27 eV per cell
DFT formation energy ... -125 meV per atom
V ... 28.8 Å³/atom
Distance to the lowest polymorph of the same formula ... 0.000 eV per atom